MgRuBr2, optimized geometry, DFT PBE-GGA; volume = 85 Å³/cell; SG = Pmmm; energy above the lowest structure with this stoichiometry = 0.488 eV/atom
1.0
3.294 0.000 0.000
0.000 4.259 0.000
0.000 0.000 6.087
Mg Ru Br
1 1 2
Direct
0.000 0.000 0.000 Mg
0.500 0.000 0.500 Ru
0.000 0.500 0.500 Br
0.500 0.500 0.000 Br